1.
Computed, not measured: an optimized crystal structure of Te2RuSe at the GGA-PBE level of DFT.

Cell: 6.762 6.762 6.762 Å, 152.86 136.70 51.85°
Fractional coordinates of all 4 atoms:
Te 0.000 0.000 0.000
Te 0.661 0.161 0.500
Ru 0.195 0.695 0.500
Se 0.347 0.347 0.000

Properties
- Calculated density: 7.51 g cm⁻³
- Raw formation energy: 134 meV/atom
- N(E_F): 2.6 states/eV/cell
- DFT total energy: -4.627 eV/atom



2.
Computed, not measured: an optimized crystal structure of Ca2Cd5Ag2Pd at the GGA-PBE level of DFT.

Cell: 10.574 10.574 4.106 Å, 90.00 90.00 90.00°
Fractional coordinates of all 20 atoms:
Ca 0.175 0.325 0.000
Ca 0.325 0.825 0.000
Ca 0.675 0.175 0.000
Ca 0.825 0.675 0.000
Cd 0.000 0.500 0.500
Cd 0.055 0.809 0.500
Cd 0.191 0.055 0.500
Cd 0.309 0.555 0.500
Cd 0.445 0.309 0.500
Cd 0.500 0.000 0.500
Cd 0.555 0.691 0.500
Cd 0.691 0.445 0.500
Cd 0.809 0.945 0.500
Cd 0.945 0.191 0.500
Ag 0.126 0.626 0.000
Ag 0.374 0.126 0.000
Ag 0.626 0.874 0.000
Ag 0.874 0.374 0.000
Pd 0.000 0.000 0.000
Pd 0.500 0.500 0.000

Properties
- Calculated density: 6.98 g cm⁻³
- Formation energy from the elements: -241 meV/atom
- N(E_F): 10.9 states/eV/cell
- DFT total energy: -2.188 eV/atom



3.
Computed, not measured: an optimized crystal structure of Nd2Sm2As5 at the GGA-PBE level of DFT.

Cell: 8.660 8.660 7.809 Å, 90.00 90.00 52.89°
Fractional coordinates of all 18 atoms:
Nd 0.167 0.833 0.831
Nd 0.333 0.667 0.331
Nd 0.667 0.333 0.669
Nd 0.833 0.167 0.169
Sm 0.187 0.187 0.500
Sm 0.313 0.313 0.000
Sm 0.687 0.687 0.000
Sm 0.813 0.813 0.500
As 0.000 0.000 0.500
As 0.018 0.264 0.877
As 0.236 0.482 0.623
As 0.264 0.018 0.123
As 0.482 0.236 0.377
As 0.500 0.500 0.000
As 0.518 0.764 0.623
As 0.736 0.982 0.877
As 0.764 0.518 0.377
As 0.982 0.736 0.123

Properties
- Calculated density: 6.85 g cm⁻³
- Formation energy from the elements: -1161 meV/atom
- N(E_F): 10.2 states/eV/cell
- DFT total energy: -5.853 eV/atom



4.
Computed, not measured: an optimized crystal structure of Dy8GaGe5 at the GGA-PBE level of DFT.

Cell: 7.667 7.667 7.667 Å, 109.46 109.46 109.49°
Fractional coordinates of all 14 atoms:
Dy 0.011 0.127 0.754
Dy 0.246 0.493 0.617
Dy 0.371 0.754 0.247
Dy 0.373 0.257 0.246
Dy 0.507 0.125 0.753
Dy 0.743 0.989 0.116
Dy 0.873 0.627 0.884
Dy 0.875 0.629 0.383
Ga 0.750 0.250 0.500
Ge 0.128 0.003 0.377
Ge 0.249 0.872 0.875
Ge 0.500 0.500 0.000
Ge 0.626 0.751 0.623
Ge 0.997 0.374 0.125

Properties
- Calculated density: 8.29 g cm⁻³
- Formation energy from the elements: -785 meV/atom
- N(E_F): 8.4 states/eV/cell
- DFT total energy: -5.280 eV/atom



5.
Computed, not measured: an optimized crystal structure of YScRe2 at the GGA-PBE level of DFT.

Cell: 6.061 6.061 6.061 Å, 101.70 101.70 126.48°
Fractional coordinates of all 8 atoms:
Y 0.000 0.000 0.000
Y 0.750 0.250 0.500
Sc 0.250 0.750 0.500
Sc 0.500 0.500 0.000
Re 0.142 0.625 0.017
Re 0.375 0.392 0.517
Re 0.608 0.125 0.983
Re 0.875 0.858 0.483

Properties
- Calculated density: 10.52 g cm⁻³
- Formation energy from the elements: 832 meV/atom
- N(E_F): 8.3 states/eV/cell
- Energy relative to the lowest polymorph listed for this composition: 878 meV/atom
- DFT total energy: -8.591 eV/atom



6.
Computed, not measured: an optimized crystal structure of BaSc2InCl at the GGA-PBE level of DFT.

Cell: 5.873 5.873 6.781 Å, 90.00 90.00 90.00°
Fractional coordinates of all 5 atoms:
Ba 0.000 0.000 0.000
Sc 0.000 0.500 0.500
Sc 0.500 0.000 0.500
In 0.000 0.000 0.500
Cl 0.500 0.500 0.000

Properties
- Calculated density: 2.68 g cm⁻³
- Raw formation energy: 95 meV/atom
- N(E_F): 10.8 states/eV/cell
- DFT total energy: -3.739 eV/atom



7.
Computed, not measured: an optimized crystal structure of Ca2SbIrC at the GGA-PBE level of DFT.

Cell: 5.184 5.184 3.909 Å, 90.00 90.00 90.00°
Fractional coordinates of all 5 atoms:
Ca 0.000 0.500 0.000
Ca 0.500 0.000 0.000
Sb 0.000 0.000 0.500
Ir 0.500 0.500 0.500
C 0.500 0.500 0.000

Properties
- Calculated density: 6.42 g cm⁻³
- Raw formation energy: -393 meV/atom
- N(E_F): 2.8 states/eV/cell
- DFT total energy: -5.635 eV/atom



8.
Computed, not measured: an optimized crystal structure of LaTlCl at the GGA-PBE level of DFT.

Cell: 6.761 6.761 6.761 Å, 147.16 147.16 47.13°
Fractional coordinates of all 3 atoms:
La 0.000 0.000 0.000
Tl 0.701 0.701 0.000
Cl 0.413 0.413 0.000

Properties
- Calculated density: 6.94 g cm⁻³
- Raw formation energy: -915 meV/atom
- N(E_F): 3.3 states/eV/cell
- Energy relative to the lowest polymorph listed for this composition: 10 meV/atom
- DFT total energy: -3.962 eV/atom



9.
Computed, not measured: an optimized crystal structure of PrNd4In5 at the GGA-PBE level of DFT.

Cell: 3.887 3.887 19.361 Å, 90.00 90.00 90.00°
Fractional coordinates of all 10 atoms:
Pr 0.000 0.000 0.000
Nd 0.000 0.000 0.201
Nd 0.000 0.000 0.400
Nd 0.000 0.000 0.600
Nd 0.000 0.000 0.799
In 0.500 0.500 0.102
In 0.500 0.500 0.301
In 0.500 0.500 0.500
In 0.500 0.500 0.699
In 0.500 0.500 0.898

Properties
- Calculated density: 7.33 g cm⁻³
- Formation energy from the elements: -496 meV/atom
- N(E_F): 5.6 states/eV/cell
- DFT total energy: -4.250 eV/atom



10.
Computed, not measured: an optimized crystal structure of Ti3WAu at the GGA-PBE level of DFT.

Cell: 4.762 4.762 4.762 Å, 90.00 90.00 90.00°
Fractional coordinates of all 5 atoms:
Ti 0.000 0.000 0.500
Ti 0.000 0.500 0.000
Ti 0.500 0.000 0.000
W 0.500 0.500 0.500
Au 0.000 0.000 0.000

Properties
- Calculated density: 8.07 g cm⁻³
- Formation energy from the elements: 1340 meV/atom
- N(E_F): 9.8 states/eV/cell
- Energy relative to the lowest polymorph listed for this composition: 481 meV/atom
- DFT total energy: -6.643 eV/atom



11.
Computed, not measured: an optimized crystal structure of HgPd2Ru2 at the GGA-PBE level of DFT.

Cell: 7.706 7.706 2.806 Å, 90.00 90.00 90.00°
Fractional coordinates of all 10 atoms:
Hg 0.000 0.000 0.000
Hg 0.500 0.500 0.000
Pd 0.183 0.317 0.500
Pd 0.317 0.817 0.500
Pd 0.683 0.183 0.500
Pd 0.817 0.683 0.500
Ru 0.112 0.612 0.000
Ru 0.388 0.112 0.000
Ru 0.612 0.888 0.000
Ru 0.888 0.388 0.000

Properties
- Calculated density: 12.27 g cm⁻³
- Formation energy from the elements: 457 meV/atom
- N(E_F): 19.0 states/eV/cell
- DFT total energy: -5.391 eV/atom



12.
Computed, not measured: an optimized crystal structure of SrOs at the GGA-PBE level of DFT.

Cell: 4.391 4.391 4.391 Å, 60.00 60.00 60.00°
Fractional coordinates of all 2 atoms:
Sr 0.000 0.000 0.000
Os 0.500 0.500 0.500

Properties
- Calculated density: 7.71 g cm⁻³
- Formation energy from the elements: 1852 meV/atom
- N(E_F): 3.4 states/eV/cell
- DFT total energy: -4.604 eV/atom



13.
Computed, not measured: an optimized crystal structure of TlTePbN2 at the GGA-PBE level of DFT.

Cell: 4.623 4.623 6.184 Å, 90.00 90.00 90.00°
Fractional coordinates of all 5 atoms:
Tl 0.000 0.000 0.000
Te 0.000 0.000 0.500
Pb 0.500 0.500 0.500
N 0.000 0.500 0.000
N 0.500 0.000 0.000

Properties
- Calculated density: 7.13 g cm⁻³
- Raw formation energy: 1511 meV/atom
- N(E_F): 1.3 states/eV/cell
- Energy relative to the lowest polymorph listed for this composition: 103 meV/atom
- DFT total energy: -3.663 eV/atom



14.
Computed, not measured: an optimized crystal structure of KNaMg2Pd at the GGA-PBE level of DFT.

Cell: 6.122 6.122 5.385 Å, 90.00 90.00 90.00°
Fractional coordinates of all 5 atoms:
K 0.000 0.000 0.000
Na 0.500 0.500 0.500
Mg 0.000 0.500 0.000
Mg 0.500 0.000 0.000
Pd 0.000 0.000 0.500

Properties
- Calculated density: 1.79 g cm⁻³
- Formation energy from the elements: 835 meV/atom
- N(E_F): 2.5 states/eV/cell
- Energy relative to the lowest polymorph listed for this composition: 965 meV/atom
- DFT total energy: -1.325 eV/atom



15.
Computed, not measured: an optimized crystal structure of Tb6Dy2Er3In at the GGA-PBE level of DFT.

Cell: 6.081 6.081 11.615 Å, 95.02 95.02 120.04°
Fractional coordinates of all 12 atoms:
Tb 0.083 0.411 0.749
Tb 0.246 0.246 0.250
Tb 0.411 0.083 0.749
Tb 0.589 0.917 0.251
Tb 0.754 0.754 0.750
Tb 0.917 0.589 0.251
Dy 0.334 0.666 0.500
Dy 0.666 0.334 0.500
Er 0.167 0.833 0.000
Er 0.500 0.500 0.000
Er 0.833 0.167 0.000
In 0.000 0.000 0.500

Properties
- Calculated density: 8.60 g cm⁻³
- Formation energy from the elements: -43 meV/atom
- N(E_F): 14.4 states/eV/cell
- DFT total energy: -4.494 eV/atom



16.
Computed, not measured: an optimized crystal structure of FeAs2Cl2 at the GGA-PBE level of DFT.

Cell: 11.105 11.105 11.105 Å, 162.11 162.11 25.41°
Fractional coordinates of all 5 atoms:
Fe 0.000 0.000 0.000
As 0.250 0.750 0.500
As 0.750 0.250 0.500
Cl 0.431 0.431 0.000
Cl 0.569 0.569 0.000

Properties
- Calculated density: 3.56 g cm⁻³
- Raw formation energy: 150 meV/atom
- N(E_F): 3.4 states/eV/cell
- Energy relative to the lowest polymorph listed for this composition: 0 meV/atom
- DFT total energy: -4.141 eV/atom



17.
Computed, not measured: an optimized crystal structure of Er3Zn2Ni3 at the GGA-PBE level of DFT.

Cell: 9.567 9.567 9.567 Å, 159.58 151.93 34.96°
Fractional coordinates of all 8 atoms:
Er 0.000 0.000 0.000
Er 0.373 0.873 0.500
Er 0.627 0.127 0.500
Zn 0.235 0.235 0.000
Zn 0.765 0.765 0.000
Ni 0.131 0.631 0.500
Ni 0.500 0.500 0.000
Ni 0.869 0.369 0.500

Properties
- Calculated density: 9.35 g cm⁻³
- Formation energy from the elements: -336 meV/atom
- N(E_F): 5.4 states/eV/cell
- Energy relative to the lowest polymorph listed for this composition: 70 meV/atom
- DFT total energy: -4.534 eV/atom



18.
Computed, not measured: an optimized crystal structure of BePdS at the GGA-PBE level of DFT.

Cell: 9.571 3.353 5.247 Å, 90.00 90.00 90.00°
Fractional coordinates of all 12 atoms:
Be 0.065 0.250 0.170
Be 0.435 0.750 0.670
Be 0.565 0.250 0.330
Be 0.935 0.750 0.830
Pd 0.246 0.750 0.983
Pd 0.254 0.250 0.483
Pd 0.746 0.750 0.517
Pd 0.754 0.250 0.017
S 0.059 0.250 0.755
S 0.441 0.750 0.255
S 0.559 0.250 0.745
S 0.941 0.750 0.245

Properties
- Calculated density: 5.82 g cm⁻³
- Raw formation energy: -350 meV/atom
- N(E_F): 0.0 states/eV/cell
- DFT total energy: -4.699 eV/atom



19.
Computed, not measured: an optimized crystal structure of ZrTe2Cl at the GGA-PBE level of DFT.

Cell: 3.174 3.364 10.833 Å, 90.00 90.00 90.00°
Fractional coordinates of all 4 atoms:
Zr 0.000 0.000 0.000
Te 0.000 0.000 0.487
Te 0.500 0.500 0.821
Cl 0.500 0.500 0.144

Properties
- Calculated density: 5.48 g cm⁻³
- Raw formation energy: -649 meV/atom
- N(E_F): 2.9 states/eV/cell
- Energy relative to the lowest polymorph listed for this composition: 196 meV/atom
- DFT total energy: -4.818 eV/atom



20.
Computed, not measured: an optimized crystal structure of TbHoIrRh at the GGA-PBE level of DFT.

Cell: 4.844 4.844 4.844 Å, 60.00 60.00 60.00°
Fractional coordinates of all 4 atoms:
Tb 0.000 0.000 0.000
Ho 0.500 0.500 0.500
Ir 0.750 0.750 0.750
Rh 0.250 0.250 0.250

Properties
- Calculated density: 12.79 g cm⁻³
- Formation energy from the elements: -871 meV/atom
- N(E_F): 1.3 states/eV/cell
- DFT total energy: -7.226 eV/atom



21.
Computed, not measured: an optimized crystal structure of CaTaIr2 at the GGA-PBE level of DFT.

Cell: 3.902 3.902 7.335 Å, 97.28 97.28 46.81°
Fractional coordinates of all 4 atoms:
Ca 0.000 0.000 0.000
Ta 0.500 0.500 0.500
Ir 0.243 0.243 0.705
Ir 0.757 0.757 0.295

Properties
- Calculated density: 12.47 g cm⁻³
- Formation energy from the elements: -117 meV/atom
- N(E_F): 2.6 states/eV/cell
- Energy relative to the lowest polymorph listed for this composition: 364 meV/atom
- DFT total energy: -8.011 eV/atom



22.
Computed, not measured: an optimized crystal structure of Tl2CuBiPb at the GGA-PBE level of DFT.

Cell: 5.210 5.210 5.470 Å, 90.00 90.00 90.00°
Fractional coordinates of all 5 atoms:
Tl 0.000 0.500 0.000
Tl 0.500 0.000 0.000
Cu 0.000 0.000 0.000
Bi 0.500 0.500 0.500
Pb 0.000 0.000 0.500

Properties
- Calculated density: 9.94 g cm⁻³
- Formation energy from the elements: 184 meV/atom
- N(E_F): 3.0 states/eV/cell
- DFT total energy: -3.100 eV/atom



23.
Computed, not measured: an optimized crystal structure of Li2CaNiW at the GGA-PBE level of DFT.

Cell: 4.223 4.223 4.839 Å, 90.00 90.00 90.00°
Fractional coordinates of all 5 atoms:
Li 0.000 0.500 0.000
Li 0.500 0.000 0.000
Ca 0.000 0.000 0.000
Ni 0.500 0.500 0.500
W 0.000 0.000 0.500

Properties
- Calculated density: 5.70 g cm⁻³
- Formation energy from the elements: 1925 meV/atom
- N(E_F): 7.4 states/eV/cell
- DFT total energy: -2.988 eV/atom



24.
Computed, not measured: an optimized crystal structure of BaLaSmCuO5 at the GGA-PBE level of DFT.

Cell: 6.781 6.781 5.882 Å, 90.00 90.00 90.73°
Fractional coordinates of all 18 atoms:
Ba 0.000 0.500 0.000
Ba 0.500 0.000 0.000
La 0.175 0.825 0.500
La 0.825 0.175 0.500
Sm 0.327 0.327 0.500
Sm 0.673 0.673 0.500
Cu 0.000 0.000 0.000
Cu 0.500 0.500 0.000
O 0.000 0.500 0.500
O 0.143 0.143 0.240
O 0.143 0.143 0.760
O 0.364 0.636 0.245
O 0.364 0.636 0.755
O 0.500 0.000 0.500
O 0.636 0.364 0.245
O 0.636 0.364 0.755
O 0.857 0.857 0.240
O 0.857 0.857 0.760

Properties
- Calculated density: 7.00 g cm⁻³
- Raw formation energy: -2610 meV/atom
- DFT total energy: -7.105 eV/atom